Entry 1:
Entry from Alexandria via LeMat-Bulk: an optimized crystal structure of KCoIO2 (PBE+U).

Unit cell a=4.175 b=4.175 c=6.334 alpha=90.00 beta=90.00 gamma=90.00
Site moments in Bohr magnetons follow the coordinates.
Sites, in units of the cell vectors:
1 K 0.000 0.000 0.000  -0.01
2 O 0.000 0.500 0.000  0.39
3 O 0.500 0.000 0.000  0.39
4 Co 0.500 0.500 0.500  2.19
5 I 0.000 0.000 0.500  0.04

Computed properties:
magnetization = 3.26 μB/cell
crystal system = tetragonal
calculated total energy = -2.59 eV/atom
D(E_F) = 1.005 states/eV/atom

***

Entry 2:
Entry from Alexandria via LeMat-Bulk: an optimized crystal structure of KCoIO2 (PBE+U).

Unit cell a=4.245 b=4.245 c=5.730 alpha=90.00 beta=90.00 gamma=90.00
Site moments in Bohr magnetons follow the coordinates.
Sites, in units of the cell vectors:
1 O 0.500 0.000 0.000  0.80
2 O 0.000 0.500 0.000  0.80
3 Co 0.000 0.000 0.000  2.81
4 K 0.500 0.500 0.500  0.00
5 I 0.000 0.000 0.500  0.11

Computed properties:
magnetization = 4.92 μB/cell
crystal system = tetragonal
calculated total energy = -3.83 eV/atom
D(E_F) = 0.716 states/eV/atom

***

Look up the D(E_F) of the first one. 1.005 states/eV/atom